Crystalline Rb4Pr3RhO8 at its relaxed geometry, computed with PBE.

Output
E_form (uncorrected)   -196.0 kJ/mol of atoms
Uncorrected energy   -0.2245 hartree per atom
Magnetization   0.00 μB per atom

Cell: 7.1614 7.7611 7.1614 Å, 117.47 120.00 90.00°
Atoms (fractional coordinates):
O (0.2164, 0.6800, 0.4329)
O (0.7283, 0.6850, 0.4567)
O (0.2529, 0.3199, 0.0364)
O (0.7836, 0.3200, 0.5671)
O (0.7471, 0.6801, 0.9636)
O (0.2165, 0.6801, 0.9636)
O (0.7835, 0.3199, 0.0364)
O (0.2717, 0.3150, 0.5433)
Pr (0.5000, 0.5000, 0.0000)
Pr (0.5000, 0.5000, 0.5000)
Pr (0.0000, 0.5000, 0.5000)
Rb (0.5000, 0.0000, 0.5000)
Rb (0.0000, 0.0000, 0.0000)
Rb (0.5000, 0.0000, 0.0000)
Rb (0.0000, 0.0000, 0.5000)
Rh (0.0000, 0.5000, 0.0000)